No. 1
{"formula": "ScGaP2Cl", "functional": "GGA-PBE", "state": "relaxed", "dos_at_fermi_per_ev_atom": 0.47, "spacegroup": "P4/mmm (123)", "energy_ev_per_atom": -4.37, "lattice": [[4.676, 0.000, 0.000], [0.000, 4.676, 0.000], [0.000, 0.000, 4.823]], "species": ["Ga", "P", "P", "Cl", "Sc"], "frac_coords": [[0.000, 0.000, 0.000], [0.500, 0.000, 0.000], [0.000, 0.500, 0.000], [0.000, 0.000, 0.500], [0.500, 0.500, 0.500]]}

***

No. 2
{"formula": "HfCdI", "functional": "GGA-PBE", "state": "relaxed", "dos_at_fermi_per_ev_atom": 0.65, "spacegroup": "P1 (1)", "energy_ev_per_atom": -4.23, "lattice": [[3.314, 1.081, -0.829], [2.185, 4.475, -0.980], [-1.610, -1.848, 14.430]], "species": ["Cd", "Cd", "I", "I", "Hf", "Hf"], "frac_coords": [[0.459, 0.125, 0.151], [0.587, 0.692, 0.282], [0.375, 0.842, 0.573], [0.671, 0.476, 0.860], [0.333, 0.560, 0.024], [0.713, 0.258, 0.409]]}

***

No. 3
{"formula": "Pr2PuOs2N6", "functional": "GGA-PBE", "state": "relaxed", "dos_at_fermi_per_ev_atom": 0.84, "spacegroup": "R-3m (166)", "energy_ev_per_atom": -9.23, "lattice": [[-3.133, -3.451, 3.362], [2.530, -4.291, 2.865], [0.730, 1.005, 6.623]], "species": ["Os", "Os", "N", "N", "N", "N", "N", "N", "Pr", "Pr", "Pu"], "frac_coords": [[0.395, 0.395, 0.816], [0.605, 0.605, 0.184], [0.776, 0.253, 0.718], [0.224, 0.747, 0.282], [0.747, 0.224, 0.282], [0.253, 0.776, 0.718], [0.747, 0.747, 0.282], [0.253, 0.253, 0.718], [0.211, 0.211, 0.368], [0.789, 0.789, 0.632], [0.000, 0.000, 0.000]]}

***

No. 4
{"formula": "KCrTcRu2", "functional": "GGA-PBE", "state": "relaxed", "dos_at_fermi_per_ev_atom": 1.41, "spacegroup": "P4/mmm (123)", "formation_energy_ev_per_atom": 3.05, "lattice": [[4.452, 0.000, 0.000], [0.000, 4.215, 0.000], [0.000, 0.000, 4.452]], "species": ["Tc", "Ru", "Ru", "Cr", "K"], "frac_coords": [[0.500, 0.500, 0.500], [0.000, 0.000, 0.500], [0.500, 0.000, 0.000], [0.000, 0.500, 0.000], [0.000, 0.000, 0.000]]}